1.
A plane-wave DFT calculation with PBE was carried out for a geometry-optimized ZnNi14Ir structure.

The space group is Amm2 (No. 38) and the conventional cell measures 8.2272, 5.0459 and 8.7462 Å, with angles of 90.00, 90.00 and 90.00 degrees. The inequivalent atoms are Zn at (0.0000, 0.0000, 0.0000), Ni at (0.0000, 0.2486, 0.7495), Ni at (0.2529, 0.0000, 0.6671), Ni at (0.2543, 0.0000, 0.1677), Ni at (0.2553, 0.2497, 0.4155), Ni at (0.5000, 0.0000, 0.3331), Ni at (0.5000, 0.0000, 0.8328), Ni at (0.5000, 0.2499, 0.0834) and Ir at (0.0000, 0.0000, 0.4996).

The total energy is -0.4186 Ry per atom. As for the energy relative to the elements: -0.0038 eV per atom. The calculated volume is 363.1 Å³ per cell. The size of the total moment comes out at 0.580 μB per atom. Its crystal system is orthorhombic. The density of states at the Fermi level is 1.647 states/eV/atom.


2.
A plane-wave DFT calculation with PBE was carried out for a geometry-optimized BeCu3Rh structure.

The space group is Pm-3m (No. 221) and the conventional cell measures 4.5879, 4.5879 and 4.5879 Å, with angles of 90.00, 90.00 and 90.00 degrees. The inequivalent atoms are Be at (0.0000, 0.0000, 0.0000), Cu at (0.0000, 0.5000, 0.5000) and Rh at (0.5000, 0.5000, 0.5000).

The total energy is -0.2407 Ry per atom. As for the energy relative to the elements: 1.3989 eV per atom. Its energy above the lowest structure with this stoichiometry is 4.84 eV/f.u. The calculated volume is 96.6 Å³ per cell. The size of the total moment comes out at 0.000 μB per atom. Its crystal system is cubic. The density of states at the Fermi level is 1.127 states/eV/atom.


3.
A plane-wave DFT calculation with PBE was carried out for a geometry-optimized Ga2CuW2 structure.

The space group is P4/mbm (No. 127) and the conventional cell measures 6.8992, 6.8992 and 3.4452 Å, with angles of 90.00, 90.00 and 90.00 degrees. The inequivalent atoms are Ga at (0.1718, 0.3282, 0.0000), Cu at (0.0000, 0.0000, 0.5000) and W at (0.1267, 0.6267, 0.5000).

The total energy is -0.4975 Ry per atom. As for the energy relative to the elements: 0.4427 eV per atom. Its energy above the lowest structure with this stoichiometry is 0.00 eV/f.u. The calculated volume is 164.0 Å³ per cell. The size of the total moment comes out at 0.000 μB per atom. Its crystal system is tetragonal. The density of states at the Fermi level is 0.504 states/eV/atom.


- What is the calculated volume in the second record?
  96.6 Å³ per cell


- Number 2 is which compound?
  BeCu3Rh


- What is the density of states at the Fermi level in the second record?
  1.127 states/eV/atom